HfCoBiPd | PBE | relaxed

distance to the lowest polymorph of the same formula	0.200	eV/atom
final energy	-6.54	eV/atom
mass density	12.76	g cm⁻³

```
4
Lattice="0.000 3.301 3.301 3.301 0.000 3.301 3.301 3.301 0.000" Properties=species:S:1:pos:R:3 pbc="T T T"
Bi 0.000 0.000 0.000
Co 4.952 4.952 4.952
Hf 1.651 1.651 1.651
Pd 3.301 3.301 3.301
```